# GGA-PBEsol Al7CrBi4O18, optimized geometry
# Calculated total energy, eV/atom: -7.388
# Calculated density, g/cm3: 6.3
# Raw formation energy, eV per formula unit: -71.12
data_Al7CrBi4O18
_chemical_formula_sum 'Al7 Cr1 Bi4 O18'
_symmetry_space_group_name_H-M 'P 1 2 1'
_symmetry_Int_Tables_number 3
_symmetry_space_group_name_Hall 'P 2y'
_cell_length_a 7.6902
_cell_length_b 5.7471
_cell_length_c 8.1749
_cell_angle_alpha 90.00
_cell_angle_beta 90.06
_cell_angle_gamma 90.00
loop_
_atom_site_label
_atom_site_fract_x
_atom_site_fract_y
_atom_site_fract_z
_atom_site_occupancy
Al1 0.0000 0.0000 0.0000 1
Al2 0.0000 0.4792 0.0000 1
Al3 0.1454 0.2397 0.3363 1
Al4 0.3519 0.2441 0.8383 1
Al5 0.5000 0.4804 0.5000 1
Cr1 0.5000 0.9980 0.5000 1
Bi1 0.1651 0.7411 0.6688 1
Bi2 0.3329 0.7368 0.1677 1
O1 0.0000 0.2341 0.5000 1
O2 0.1216 0.4902 0.2069 1
O3 0.1247 0.9892 0.2066 1
O4 0.1374 0.2396 0.9140 1
O5 0.1453 0.7395 0.9350 1
O6 0.3512 0.7326 0.4340 1
O7 0.3604 0.2499 0.4105 1
O8 0.3738 0.4913 0.7066 1
O9 0.3746 0.9893 0.7130 1
O10 0.5000 0.2550 0.0000 1

# GGA-PBEsol CsAl2Bi2, optimized geometry
# Calculated total energy, eV/atom: -3.670
# Formation enthalpy at 0 K, eV/atom: -0.13
# Calculated density, g/cm3: 5.9
data_CsAl2Bi2
_chemical_formula_sum 'Cs2 Al4 Bi4'
_symmetry_space_group_name_H-M 'I 4/m m m'
_symmetry_Int_Tables_number 139
_symmetry_space_group_name_Hall '-I 4 2'
_cell_length_a 4.7412
_cell_length_b 4.7412
_cell_length_c 15.1677
_cell_angle_alpha 90.00
_cell_angle_beta 90.00
_cell_angle_gamma 90.00
loop_
_atom_site_label
_atom_site_fract_x
_atom_site_fract_y
_atom_site_fract_z
_atom_site_occupancy
Cs1 0.0000 0.0000 0.0000 1
Al1 0.0000 0.5000 0.2500 1
Bi1 0.0000 0.0000 0.3575 1

# GGA-PBEsol CsAlBi2Te, optimized geometry
# Calculated total energy, eV/atom: -3.118
# Calculated density, g/cm3: 6.3
# Raw formation energy, eV per formula unit: 1.54
data_CsAlBi2Te
_chemical_formula_sum 'Cs1 Al1 Bi2 Te1'
_symmetry_space_group_name_H-M 'P 4/m m m'
_symmetry_Int_Tables_number 123
_symmetry_space_group_name_Hall '-P 4 2'
_cell_length_a 5.3798
_cell_length_b 5.3798
_cell_length_c 6.4495
_cell_angle_alpha 90.00
_cell_angle_beta 90.00
_cell_angle_gamma 90.00
loop_
_atom_site_label
_atom_site_fract_x
_atom_site_fract_y
_atom_site_fract_z
_atom_site_occupancy
Cs1 0.0000 0.0000 0.0000 1
Al1 0.0000 0.0000 0.5000 1
Bi1 0.0000 0.5000 0.5000 1
Te1 0.5000 0.5000 0.0000 1

# GGA-PBEsol AlBiNF2, optimized geometry
# Calculated total energy, eV/atom: -4.627
# Calculated density, g/cm3: 5.3
# Raw formation energy, eV per formula unit: -2.38
data_AlBiNF2
_chemical_formula_sum 'Al1 Bi1 N1 F2'
_symmetry_space_group_name_H-M 'P 4/m m m'
_symmetry_Int_Tables_number 123
_symmetry_space_group_name_Hall '-P 4 2'
_cell_length_a 4.5410
_cell_length_b 4.5410
_cell_length_c 4.3532
_cell_angle_alpha 90.00
_cell_angle_beta 90.00
_cell_angle_gamma 90.00
loop_
_atom_site_label
_atom_site_fract_x
_atom_site_fract_y
_atom_site_fract_z
_atom_site_occupancy
Al1 0.0000 0.0000 0.0000 1
Bi1 0.5000 0.5000 0.5000 1
N1 0.5000 0.5000 0.0000 1
F1 0.0000 0.5000 0.5000 1

# GGA-PBEsol Al2FeBi, optimized geometry
# Calculated total energy, eV/atom: -4.946
# Formation enthalpy at 0 K, eV/atom: 0.41
# Calculated density, g/cm3: 6.5
data_Al2FeBi
_chemical_formula_sum 'Al8 Fe4 Bi4'
_symmetry_space_group_name_H-M 'I -4 2 d'
_symmetry_Int_Tables_number 122
_symmetry_space_group_name_Hall 'I -4 2bw'
_cell_length_a 4.3759
_cell_length_b 4.3759
_cell_length_c 17.0091
_cell_angle_alpha 90.00
_cell_angle_beta 90.00
_cell_angle_gamma 90.00
loop_
_atom_site_label
_atom_site_fract_x
_atom_site_fract_y
_atom_site_fract_z
_atom_site_occupancy
Al1 0.1567 0.2500 0.1250 1
Fe1 0.0000 0.0000 0.0000 1
Bi1 0.0000 0.0000 0.5000 1

# GGA-PBEsol Al3FeBi, optimized geometry
# Calculated total energy, eV/atom: -4.883
# Formation enthalpy at 0 K, eV/atom: 0.22
# Calculated density, g/cm3: 5.9
data_Al3FeBi
_chemical_formula_sum 'Al3 Fe1 Bi1'
_symmetry_space_group_name_H-M 'P m -3 m'
_symmetry_Int_Tables_number 221
_symmetry_space_group_name_Hall '-P 4 2 3'
_cell_length_a 4.5991
_cell_length_b 4.5991
_cell_length_c 4.5991
_cell_angle_alpha 90.00
_cell_angle_beta 90.00
_cell_angle_gamma 90.00
loop_
_atom_site_label
_atom_site_fract_x
_atom_site_fract_y
_atom_site_fract_z
_atom_site_occupancy
Al1 0.0000 0.0000 0.5000 1
Fe1 0.0000 0.0000 0.0000 1
Bi1 0.5000 0.5000 0.5000 1

# GGA-PBEsol AlFe3Bi, optimized geometry
# Calculated total energy, eV/atom: -5.394
# Formation enthalpy at 0 K, eV/atom: 1.66
# Calculated density, g/cm3: 6.0
data_AlFe3Bi
_chemical_formula_sum 'Al1 Fe3 Bi1'
_symmetry_space_group_name_H-M 'P m -3 m'
_symmetry_Int_Tables_number 221
_symmetry_space_group_name_Hall '-P 4 2 3'
_cell_length_a 4.8179
_cell_length_b 4.8179
_cell_length_c 4.8179
_cell_angle_alpha 90.00
_cell_angle_beta 90.00
_cell_angle_gamma 90.00
loop_
_atom_site_label
_atom_site_fract_x
_atom_site_fract_y
_atom_site_fract_z
_atom_site_occupancy
Al1 0.0000 0.0000 0.0000 1
Fe1 0.0000 0.5000 0.5000 1
Bi1 0.5000 0.5000 0.5000 1

# GGA-PBEsol AlFe2BiS, optimized geometry
# Calculated total energy, eV/atom: -4.623
# Calculated density, g/cm3: 4.8
# Raw formation energy, eV per formula unit: 7.58
data_AlFe2BiS
_chemical_formula_sum 'Al1 Fe2 Bi1 S1'
_symmetry_space_group_name_H-M 'P 4/m m m'
_symmetry_Int_Tables_number 123
_symmetry_space_group_name_Hall '-P 4 2'
_cell_length_a 4.9137
_cell_length_b 4.9137
_cell_length_c 5.3995
_cell_angle_alpha 90.00
_cell_angle_beta 90.00
_cell_angle_gamma 90.00
loop_
_atom_site_label
_atom_site_fract_x
_atom_site_fract_y
_atom_site_fract_z
_atom_site_occupancy
Al1 0.0000 0.0000 0.0000 1
Fe1 0.0000 0.5000 0.5000 1
Bi1 0.0000 0.0000 0.5000 1
S1 0.5000 0.5000 0.0000 1

# GGA-PBEsol AlGa2Bi, optimized geometry
# Calculated total energy, eV/atom: -3.593
# Formation enthalpy at 0 K, eV/atom: 0.17
# Calculated density, g/cm3: 7.2
data_AlGa2Bi
_chemical_formula_sum 'Al4 Ga8 Bi4'
_symmetry_space_group_name_H-M 'F m -3 m'
_symmetry_Int_Tables_number 225
_symmetry_space_group_name_Hall '-F 4 2 3'
_cell_length_a 7.0083
_cell_length_b 7.0083
_cell_length_c 7.0083
_cell_angle_alpha 90.00
_cell_angle_beta 90.00
_cell_angle_gamma 90.00
loop_
_atom_site_label
_atom_site_fract_x
_atom_site_fract_y
_atom_site_fract_z
_atom_site_occupancy
Al1 0.0000 0.0000 0.0000 1
Ga1 0.2500 0.2500 0.2500 1
Bi1 0.0000 0.0000 0.5000 1

# GGA-PBEsol AlGaBi3, optimized geometry
# Calculated total energy, eV/atom: -3.527
# Formation enthalpy at 0 K, eV/atom: 0.53
# Calculated density, g/cm3: 7.6
data_AlGaBi3
_chemical_formula_sum 'Al1 Ga1 Bi3'
_symmetry_space_group_name_H-M 'P m -3 m'
_symmetry_Int_Tables_number 221
_symmetry_space_group_name_Hall '-P 4 2 3'
_cell_length_a 5.4096
_cell_length_b 5.4096
_cell_length_c 5.4096
_cell_angle_alpha 90.00
_cell_angle_beta 90.00
_cell_angle_gamma 90.00
loop_
_atom_site_label
_atom_site_fract_x
_atom_site_fract_y
_atom_site_fract_z
_atom_site_occupancy
Al1 0.0000 0.0000 0.0000 1
Ga1 0.5000 0.5000 0.5000 1
Bi1 0.0000 0.0000 0.5000 1

# GGA-PBEsol Al2BiH, optimized geometry
# Calculated total energy, eV/atom: -3.641
# Calculated density, g/cm3: 5.7
data_Al2BiH
_chemical_formula_sum 'Al8 Bi4 H4'
_symmetry_space_group_name_H-M 'I -4 2 d'
_symmetry_Int_Tables_number 122
_symmetry_space_group_name_Hall 'I -4 2bw'
_cell_length_a 5.0586
_cell_length_b 5.0586
_cell_length_c 11.9723
_cell_angle_alpha 90.00
_cell_angle_beta 90.00
_cell_angle_gamma 90.00
loop_
_atom_site_label
_atom_site_fract_x
_atom_site_fract_y
_atom_site_fract_z
_atom_site_occupancy
Al1 0.0686 0.2500 0.1250 1
Bi1 0.0000 0.0000 0.5000 1
H1 0.0000 0.0000 0.0000 1

# GGA-PBEsol AlBi3H, optimized geometry
# Calculated total energy, eV/atom: -3.091
# Calculated density, g/cm3: 6.9
data_AlBi3H
_chemical_formula_sum 'Al1 Bi3 H1'
_symmetry_space_group_name_H-M 'P m -3 m'
_symmetry_Int_Tables_number 221
_symmetry_space_group_name_Hall '-P 4 2 3'
_cell_length_a 5.4020
_cell_length_b 5.4020
_cell_length_c 5.4020
_cell_angle_alpha 90.00
_cell_angle_beta 90.00
_cell_angle_gamma 90.00
loop_
_atom_site_label
_atom_site_fract_x
_atom_site_fract_y
_atom_site_fract_z
_atom_site_occupancy
Al1 0.0000 0.0000 0.0000 1
Bi1 0.0000 0.0000 0.5000 1
H1 0.5000 0.5000 0.5000 1

- Look up the calculated density of the eighth one.
  4.8 g/cm3

- calculated density of number 9 (AlGa2Bi)?
  7.2 g/cm3

Copy entry 5 word for word.
# GGA-PBEsol Al2FeBi, optimized geometry
# Calculated total energy, eV/atom: -4.946
# Formation enthalpy at 0 K, eV/atom: 0.41
# Calculated density, g/cm3: 6.5
data_Al2FeBi
_chemical_formula_sum 'Al8 Fe4 Bi4'
_symmetry_space_group_name_H-M 'I -4 2 d'
_symmetry_Int_Tables_number 122
_symmetry_space_group_name_Hall 'I -4 2bw'
_cell_length_a 4.3759
_cell_length_b 4.3759
_cell_length_c 17.0091
_cell_angle_alpha 90.00
_cell_angle_beta 90.00
_cell_angle_gamma 90.00
loop_
_atom_site_label
_atom_site_fract_x
_atom_site_fract_y
_atom_site_fract_z
_atom_site_occupancy
Al1 0.1567 0.2500 0.1250 1
Fe1 0.0000 0.0000 0.0000 1
Bi1 0.0000 0.0000 0.5000 1

- What is the calculated density in the fifth record?
  6.5 g/cm3